LaAlIr4 | PBE | optimized geometry

a = 5.340 Å, b = 5.340 Å, c = 5.340 Å
α = 60.00°, β = 60.00°, γ = 60.00°
Fractional positions:
La: 0.000 0.000 0.000
Al: 0.750 0.750 0.750
Ir: 0.376 0.376 0.376
Ir: 0.376 0.376 0.872
Ir: 0.376 0.872 0.376
Ir: 0.872 0.376 0.376

space group	F-43m
energy of formation	-189.0	kJ/mol of formula units

LaAl3Ir | PBE | optimized geometry

a = 6.341 Å, b = 6.341 Å, c = 5.739 Å
α = 90.00°, β = 90.00°, γ = 120.00°
Fractional positions:
La: 0.333 0.667 0.250
La: 0.667 0.333 0.750
Al: 0.189 0.377 0.750
Al: 0.189 0.811 0.750
Al: 0.377 0.189 0.250
Al: 0.623 0.811 0.750
Al: 0.811 0.189 0.250
Al: 0.811 0.623 0.250
Ir: 0.000 0.000 0.000
Ir: 0.000 0.000 0.500

space group	P6_3/mmc
energy of formation	-297.2	kJ/mol of formula units
E above lowest polymorph	0	meV/atom

LaAl11Ir | PBE | optimized geometry

a = 6.869 Å, b = 6.869 Å, c = 7.285 Å
α = 97.45°, β = 97.45°, γ = 135.23°
Fractional positions:
La: 0.000 0.000 0.000
Al: 0.000 0.000 0.500
Al: 0.000 0.500 0.000
Al: 0.010 0.359 0.360
Al: 0.278 0.499 0.769
Al: 0.359 0.010 0.360
Al: 0.499 0.278 0.769
Al: 0.500 0.000 0.000
Al: 0.501 0.722 0.231
Al: 0.641 0.990 0.640
Al: 0.722 0.501 0.231
Al: 0.990 0.641 0.640
Ir: 0.500 0.500 0.500

space group	C2/m
energy of formation	-398.7	kJ/mol of formula units

La2AlIr | PBE | optimized geometry

a = 7.093 Å, b = 7.093 Å, c = 7.093 Å
α = 90.00°, β = 90.00°, γ = 90.00°
Fractional positions:
La: 0.000 0.000 0.000
La: 0.000 0.500 0.500
La: 0.250 0.250 0.250
La: 0.250 0.750 0.750
La: 0.500 0.000 0.500
La: 0.500 0.500 0.000
La: 0.750 0.250 0.750
La: 0.750 0.750 0.250
Al: 0.000 0.000 0.500
Al: 0.000 0.500 0.000
Al: 0.500 0.000 0.000
Al: 0.500 0.500 0.500
Ir: 0.250 0.250 0.750
Ir: 0.250 0.750 0.250
Ir: 0.750 0.250 0.250
Ir: 0.750 0.750 0.750

space group	F-43m
energy of formation	-150.0	kJ/mol of formula units

La2AlIr | PBE | optimized geometry

a = 4.116 Å, b = 4.116 Å, c = 24.251 Å
α = 90.00°, β = 90.00°, γ = 120.00°
Fractional positions:
La: 0.000 0.000 0.235
La: 0.000 0.000 0.765
La: 0.333 0.667 0.432
La: 0.333 0.667 0.902
La: 0.667 0.333 0.098
La: 0.667 0.333 0.568
Al: 0.000 0.000 0.000
Al: 0.333 0.667 0.667
Al: 0.667 0.333 0.333
Ir: 0.000 0.000 0.500
Ir: 0.333 0.667 0.167
Ir: 0.667 0.333 0.833

space group	R-3m
energy of formation	-147.9	kJ/mol of formula units

La2Al9Ir3 | PBE | optimized geometry

a = 7.695 Å, b = 7.695 Å, c = 10.677 Å
α = 111.35°, β = 111.35°, γ = 59.63°
Fractional positions:
La: 0.086 0.252 0.250
La: 0.252 0.086 0.750
La: 0.748 0.914 0.250
La: 0.914 0.748 0.750
Al: 0.027 0.854 0.072
Al: 0.146 0.973 0.428
Al: 0.194 0.358 0.569
Al: 0.216 0.580 0.252
Al: 0.318 0.486 0.952
Al: 0.358 0.194 0.069
Al: 0.374 0.626 0.750
Al: 0.420 0.784 0.248
Al: 0.486 0.318 0.452
Al: 0.514 0.682 0.548
Al: 0.580 0.216 0.752
Al: 0.626 0.374 0.250
Al: 0.642 0.806 0.931
Al: 0.682 0.514 0.048
Al: 0.784 0.420 0.748
Al: 0.806 0.642 0.431
Al: 0.854 0.027 0.572
Al: 0.973 0.146 0.928
Ir: 0.000 0.500 0.000
Ir: 0.159 0.671 0.499
Ir: 0.329 0.841 0.001
Ir: 0.500 0.000 0.500
Ir: 0.671 0.159 0.999
Ir: 0.841 0.329 0.501

space group	C2/c
energy of formation	-1118.6	kJ/mol of formula units
E above lowest polymorph	3	meV/atom

LaAl3Ir2 | PBE | optimized geometry

a = 6.375 Å, b = 6.375 Å, c = 5.639 Å
α = 90.00°, β = 90.00°, γ = 77.61°
Fractional positions:
La: 0.147 0.853 0.750
La: 0.853 0.147 0.250
Al: 0.037 0.593 0.250
Al: 0.407 0.963 0.250
Al: 0.454 0.546 0.250
Al: 0.546 0.454 0.750
Al: 0.593 0.037 0.750
Al: 0.963 0.407 0.750
Ir: 0.291 0.291 0.000
Ir: 0.291 0.291 0.500
Ir: 0.709 0.709 0.000
Ir: 0.709 0.709 0.500

space group	Cmcm
energy of formation	-492.2	kJ/mol of formula units

LaAl2Ir | PBE | optimized geometry

a = 3.077 Å, b = 3.077 Å, c = 28.460 Å
α = 90.00°, β = 90.00°, γ = 120.00°
Fractional positions:
La: 0.000 0.000 0.000
La: 0.333 0.667 0.667
La: 0.667 0.333 0.333
Al: 0.000 0.000 0.512
Al: 0.000 0.000 0.767
Al: 0.333 0.667 0.179
Al: 0.333 0.667 0.434
Al: 0.667 0.333 0.100
Al: 0.667 0.333 0.846
Ir: 0.000 0.000 0.243
Ir: 0.333 0.667 0.909
Ir: 0.667 0.333 0.576

space group	R3m
energy of formation	-20.7	kJ/mol of formula units

What did the fourth record say?
La2AlIr | PBE | optimized geometry

a = 7.093 Å, b = 7.093 Å, c = 7.093 Å
α = 90.00°, β = 90.00°, γ = 90.00°
Fractional positions:
La: 0.000 0.000 0.000
La: 0.000 0.500 0.500
La: 0.250 0.250 0.250
La: 0.250 0.750 0.750
La: 0.500 0.000 0.500
La: 0.500 0.500 0.000
La: 0.750 0.250 0.750
La: 0.750 0.750 0.250
Al: 0.000 0.000 0.500
Al: 0.000 0.500 0.000
Al: 0.500 0.000 0.000
Al: 0.500 0.500 0.500
Ir: 0.250 0.250 0.750
Ir: 0.250 0.750 0.250
Ir: 0.750 0.250 0.250
Ir: 0.750 0.750 0.750

space group	F-43m
energy of formation	-150.0	kJ/mol of formula units

Please write out number 4 again, unchanged.
La2AlIr | PBE | optimized geometry

a = 7.093 Å, b = 7.093 Å, c = 7.093 Å
α = 90.00°, β = 90.00°, γ = 90.00°
Fractional positions:
La: 0.000 0.000 0.000
La: 0.000 0.500 0.500
La: 0.250 0.250 0.250
La: 0.250 0.750 0.750
La: 0.500 0.000 0.500
La: 0.500 0.500 0.000
La: 0.750 0.250 0.750
La: 0.750 0.750 0.250
Al: 0.000 0.000 0.500
Al: 0.000 0.500 0.000
Al: 0.500 0.000 0.000
Al: 0.500 0.500 0.500
Ir: 0.250 0.250 0.750
Ir: 0.250 0.750 0.250
Ir: 0.750 0.250 0.250
Ir: 0.750 0.750 0.750

space group	F-43m
energy of formation	-150.0	kJ/mol of formula units

Question: Which of these has the lowest energy of formation?
Answer: La2Al9Ir3

Question: Which value of energy of formation does entry 8 give?
Answer: -20.7 kJ/mol of formula units